A relaxed structure of NaLiCoAg2. Source: the Alexandria database, functional PBE.

Cell: 4.5702 4.4360 4.5702 Å, 90.00 90.00 90.00°
Last column: nearest neighbours and their distance in Å.
Sites, in units of the cell vectors:
Li1 0.0000 0.0000 0.0000  2 Na 2.22, 4 Ag 2.29
Ag1 0.5000 0.0000 0.0000  2 Li 2.29
Ag2 0.0000 0.0000 0.5000  2 Li 2.29
Co1 0.5000 0.5000 0.5000  8 Ag 3.18, 4 Na 3.23
Na1 0.0000 0.5000 0.0000  2 Li 2.22

## Properties
Total energy = -2.424 eV/atom
Formation energy from the elements = 0.7845 eV/atom